VASP calculation (PBE) on a geometry-optimized Sc2CrRu2 structure.

## Properties
D(E_F)   4.657 states/eV/f.u.

Unit cell a=6.2654 b=6.2654 c=4.3593 alpha=90.00 beta=90.00 gamma=90.00
With the nearest neighbours (Å) after each atom.
Sites, in units of the cell vectors:
Ru 0.1475 0.3525 0.0000  2 Cr 2.39, 1 Ru 2.61
Ru 0.8525 0.6475 0.0000  2 Cr 2.39, 1 Ru 2.61
Ru 0.3525 0.8525 0.0000  2 Cr 2.39, 1 Ru 2.61
Ru 0.6475 0.1475 0.0000  2 Cr 2.39, 1 Ru 2.61
Cr 0.5000 0.5000 0.0000  4 Ru 2.39
Cr 0.0000 0.0000 0.0000  4 Ru 2.39
Sc 0.6758 0.8242 0.5000  6 Ru 2.68-2.98
Sc 0.1758 0.6758 0.5000  6 Ru 2.68-2.98
Sc 0.3242 0.1758 0.5000  6 Ru 2.68-2.98
Sc 0.8242 0.3242 0.5000  6 Ru 2.68-2.98

***

VASP calculation (PBE) on a geometry-optimized ScCr2Ru structure.

## Properties
D(E_F)   3.754 states/eV/f.u.
Polymorph energy (0 for the lowest one)   0.326 eV/f.u.

Unit cell a=5.0371 b=5.0371 c=4.5018 alpha=63.43 beta=63.43 gamma=35.00
With the nearest neighbours (Å) after each atom.
Sites, in units of the cell vectors:
Cr 0.2588 0.2588 0.2413  2 Cr 2.39, 2 Ru 2.56
Cr 0.9761 0.9761 0.0237  2 Cr 2.39
Sc 0.7500 0.7500 0.7501  4 Ru 2.71-3.01, 8 Cr 2.71-2.96, 2 Sc 3.03
Ru 0.5151 0.5151 0.4849  6 Cr 2.56-2.73, 2 Sc 2.71

***

VASP calculation (PBE) on a geometry-optimized ScCr2Ru structure.

## Properties
D(E_F)   5.456 states/eV/f.u.
Polymorph energy (0 for the lowest one)   1.750 eV/f.u.

Unit cell a=8.8626 b=8.8626 c=8.8626 alpha=18.00 beta=18.00 gamma=18.00
With the nearest neighbours (Å) after each atom.
Sites, in units of the cell vectors:
Sc 0.2500 0.2500 0.2500  6 Sc 2.77, 6 Cr 2.83
Cr 0.4943 0.4943 0.4943  3 Ru 2.59, 6 Cr 2.77, 3 Sc 2.83
Cr 0.0057 0.0057 0.0057  3 Ru 2.59, 6 Cr 2.77, 3 Sc 2.83
Ru 0.7500 0.7500 0.7500  6 Cr 2.59, 6 Ru 2.77

***

no.,final energy (eV per atom),formation energy from the elements (eV per atom)
1,-8.3502,-0.1825
2,-8.6369,0.0767
3,-8.2810,0.4325